Material: BeSe2Cl
Method: DFT, PBE
State: optimized geometry Values from VASP.

```
&SYSTEM
  ibrav = 0, nat = 4, ntyp = 3
/
ATOMIC_SPECIES
Be 9.01 Be.upf
Se 78.96 Se.upf
Cl 35.45 Cl.upf
ATOMIC_POSITIONS crystal
Be 0.500 0.250 0.250
Se 0.000 0.445 0.398
Se 0.000 0.055 0.102
Cl 0.500 0.750 0.750
CELL_PARAMETERS angstrom
3.716 0.000 0.000
0.000 4.936 -0.012
0.000 3.649 4.342
```

=====

Material: BeSeCl3
Method: DFT, PBE
State: optimized geometry Values from VASP.

```
&SYSTEM
  ibrav = 0, nat = 5, ntyp = 3
/
ATOMIC_SPECIES
Cl 35.45 Cl.upf
Be 9.01 Be.upf
Se 78.96 Se.upf
ATOMIC_POSITIONS crystal
Cl 0.000 0.000 0.500
Cl 0.500 0.000 0.000
Cl 0.000 0.500 0.000
Be 0.000 0.000 0.000
Se 0.500 0.500 0.500
CELL_PARAMETERS angstrom
4.657 0.000 0.000
0.000 4.657 0.000
0.000 0.000 4.657
```

=====

Material: BeSe2Cl
Method: DFT, PBE
State: optimized geometry Values from VASP.

```
&SYSTEM
  ibrav = 0, nat = 4, ntyp = 3
/
ATOMIC_SPECIES
Se 78.96 Se.upf
Cl 35.45 Cl.upf
Be 9.01 Be.upf
ATOMIC_POSITIONS crystal
Se 0.000 0.000 0.000
Se 0.750 0.750 0.750
Cl 0.250 0.250 0.250
Be 0.500 0.500 0.500
CELL_PARAMETERS angstrom
4.687 0.000 0.000
2.344 4.059 0.000
2.344 1.353 3.827
```

=====

Material: BeSe2Cl
Method: DFT, PBE
State: optimized geometry Values from VASP.

```
&SYSTEM
  ibrav = 0, nat = 4, ntyp = 3
/
ATOMIC_SPECIES
Cl 35.45 Cl.upf
Be 9.01 Be.upf
Se 78.96 Se.upf
ATOMIC_POSITIONS crystal
Cl 0.500 0.500 0.000
Be 0.000 0.500 0.500
Se 0.500 0.000 0.500
Se 0.000 0.000 0.000
CELL_PARAMETERS angstrom
-1.710 0.453 -4.330
-3.224 -1.605 2.976
-3.588 2.957 0.415
```

=====

Material: Be2SnSeCl
Method: DFT, PBE
State: optimized geometry Values from VASP.

```
&SYSTEM
  ibrav = 0, nat = 5, ntyp = 4
/
ATOMIC_SPECIES
Cl 35.45 Cl.upf
Se 78.96 Se.upf
Sn 118.71 Sn.upf
Be 9.01 Be.upf
ATOMIC_POSITIONS crystal
Cl 0.000 0.500 0.000
Se 0.000 0.000 0.000
Sn 0.500 0.500 0.500
Be 0.000 0.000 0.500
Be 0.500 0.000 0.000
CELL_PARAMETERS angstrom
-2.550 3.370 0.357
-3.823 -2.387 -4.788
-2.324 -2.064 2.885
```

=====

Material: Sr2BeSeCl
Method: DFT, PBE
State: optimized geometry Values from VASP.

```
&SYSTEM
  ibrav = 0, nat = 5, ntyp = 4
/
ATOMIC_SPECIES
Se 78.96 Se.upf
Sr 87.62 Sr.upf
Cl 35.45 Cl.upf
Be 9.01 Be.upf
ATOMIC_POSITIONS crystal
Se 0.000 0.500 0.000
Sr 0.000 0.000 0.500
Sr 0.500 0.000 0.000
Cl 0.500 0.500 0.500
Be 0.000 0.000 0.000
CELL_PARAMETERS angstrom
-4.519 3.524 0.349
-2.636 -3.236 -1.461
-0.909 -1.701 5.407
```

=====

Material: TaBe2SeCl
Method: DFT, PBE
State: optimized geometry Values from VASP.

```
&SYSTEM
  ibrav = 0, nat = 5, ntyp = 4
/
ATOMIC_SPECIES
Se 78.96 Se.upf
Ta 180.95 Ta.upf
Be 9.01 Be.upf
Cl 35.45 Cl.upf
ATOMIC_POSITIONS crystal
Se 0.000 0.500 0.000
Ta 0.500 0.500 0.500
Be 0.500 0.000 0.000
Be 0.000 0.000 0.500
Cl 0.000 0.000 0.000
CELL_PARAMETERS angstrom
-2.347 2.587 -1.496
-2.913 0.335 5.150
2.333 2.775 1.139
```

=====

Material: BeZn2SeCl
Method: DFT, PBE
State: optimized geometry Values from VASP.

```
&SYSTEM
  ibrav = 0, nat = 5, ntyp = 4
/
ATOMIC_SPECIES
Zn 65.41 Zn.upf
Be 9.01 Be.upf
Cl 35.45 Cl.upf
Se 78.96 Se.upf
ATOMIC_POSITIONS crystal
Zn 0.500 0.000 0.000
Zn 0.000 0.000 0.500
Be 0.000 0.000 0.000
Cl 0.000 0.500 0.000
Se 0.500 0.500 0.500
CELL_PARAMETERS angstrom
4.896 0.000 0.000
0.000 4.019 0.000
0.000 0.000 4.896
```

=====

Calculated volume in order - 19.952 20.202 18.207 19.544 23.652 29.151 17.118 19.265 A^3/atom
Calculated calculated total energy in order - -3.466 -2.689 -2.469 -2.849 -2.883 -3.204 -3.867 -2.022 eV per atom
Calculated raw formation energy in order - -31.9 -13.4 64.3 27.7 45.8 -69.4 102.3 28.9 kJ/mol of atoms